DFT (PBE-GGA) results for a geometry-optimized NaAsPdO structure.

ρ ... 5.2 g/cm³
DFT total energy ... -4.56 eV/atom
Space-group type ... Pmc2_1 (26)
Distance to the lowest polymorph of the same formula ... 0.000 eV per atom

Unit cell a=3.391 b=6.998 c=5.962 alpha=90.00 beta=90.00 gamma=90.00
Sites, in units of the cell vectors:
Na: 0.000 0.113 0.000
Na: 0.000 0.887 0.500
As: 0.000 0.313 0.470
As: 0.000 0.687 0.970
Pd: 0.500 0.500 0.211
Pd: 0.500 0.500 0.711
O: 0.500 0.301 0.960
O: 0.500 0.699 0.460